Below is crystalline NaSbPd2 at its relaxed geometry, with properties calculated at the GGA-PBEsol level.

Results
Space-group type   I-42d
Uncorrected energy   -18.07 eV per formula unit
Formation energy without anion corrections   -48 meV per atom

abc: 7.377 7.377 5.845
angles: 90.00 90.00 90.00
Atoms (fractional coordinates):
Na 0.000 0.000 0.000
Na 0.000 0.500 0.250
Na 0.500 0.000 0.750
Na 0.500 0.500 0.500
Sb 0.000 0.000 0.500
Sb 0.000 0.500 0.750
Sb 0.500 0.000 0.250
Sb 0.500 0.500 0.000
Pd 0.221 0.750 0.625
Pd 0.250 0.221 0.375
Pd 0.250 0.279 0.875
Pd 0.279 0.750 0.125
Pd 0.721 0.250 0.125
Pd 0.750 0.721 0.875
Pd 0.750 0.779 0.375
Pd 0.779 0.250 0.625



Below is crystalline Na2Sb2Pd at its relaxed geometry, with properties calculated at the GGA-PBEsol level.

Results
Space-group type   P4/mbm
Uncorrected energy   -19.93 eV per formula unit
Formation energy without anion corrections   -412 meV per atom

abc: 6.900 6.900 5.110
angles: 90.00 90.00 90.00
Atoms (fractional coordinates):
Na 0.169 0.331 0.000
Na 0.331 0.831 0.000
Na 0.669 0.169 0.000
Na 0.831 0.669 0.000
Sb 0.148 0.648 0.500
Sb 0.352 0.148 0.500
Sb 0.648 0.852 0.500
Sb 0.852 0.352 0.500
Pd 0.000 0.000 0.500
Pd 0.500 0.500 0.500



Below is crystalline NaSb2TePd at its relaxed geometry, with properties calculated at the GGA-PBEsol level.

Results
Space-group type   P4/mmm
Uncorrected energy   -19.80 eV per formula unit
Formation energy without anion corrections   41 meV per atom

abc: 5.145 5.145 5.581
angles: 90.00 90.00 90.00
Atoms (fractional coordinates):
Na 0.000 0.000 0.000
Sb 0.000 0.500 0.500
Sb 0.500 0.000 0.500
Te 0.500 0.500 0.000
Pd 0.500 0.500 0.500



Below is crystalline NaZr2SbPd at its relaxed geometry, with properties calculated at the GGA-PBEsol level.

Results
Space-group type   P4/mmm
Uncorrected energy   -23.77 eV per formula unit
Formation energy without anion corrections   1264 meV per atom

abc: 4.819 4.819 4.838
angles: 90.00 90.00 90.00
Atoms (fractional coordinates):
Na 0.000 0.000 0.000
Zr 0.000 0.500 0.000
Zr 0.500 0.000 0.000
Sb 0.000 0.000 0.500
Pd 0.500 0.500 0.500



Below is crystalline NaScPd3 at its relaxed geometry, with properties calculated at the GGA-PBEsol level.

Results
Space-group type   Pm-3m
Uncorrected energy   -24.71 eV per formula unit
DFT formation energy   234 meV per atom

abc: 4.770 4.770 4.770
angles: 90.00 90.00 90.00
Atoms (fractional coordinates):
Na 0.000 0.000 0.000
Sc 0.500 0.500 0.500
Pd 0.000 0.500 0.500
Pd 0.500 0.000 0.500
Pd 0.500 0.500 0.000



Below is crystalline NaSc3Pd at its relaxed geometry, with properties calculated at the GGA-PBEsol level.

Results
Space-group type   Pm-3m
Uncorrected energy   -27.01 eV per formula unit
DFT formation energy   32 meV per atom

abc: 5.116 5.116 5.116
angles: 90.00 90.00 90.00
Atoms (fractional coordinates):
Na 0.000 0.000 0.000
Sc 0.000 0.500 0.500
Sc 0.500 0.000 0.500
Sc 0.500 0.500 0.000
Pd 0.500 0.500 0.500



Below is crystalline Na3SiPd at its relaxed geometry, with properties calculated at the GGA-PBEsol level.

Results
Space-group type   Pm-3m
Uncorrected energy   -11.92 eV per formula unit
Formation energy without anion corrections   797 meV per atom

abc: 5.379 5.379 5.379
angles: 90.00 90.00 90.00
Atoms (fractional coordinates):
Na 0.000 0.000 0.500
Na 0.000 0.500 0.000
Na 0.500 0.000 0.000
Si 0.000 0.000 0.000
Pd 0.500 0.500 0.500



Below is crystalline NaSi2Pd2 at its relaxed geometry, with properties calculated at the GGA-PBEsol level.

Results
Space-group type   I4/mmm
Uncorrected energy   -27.35 eV per formula unit
Formation energy without anion corrections   -509 meV per atom

abc: 4.123 4.123 9.801
angles: 90.00 90.00 90.00
Atoms (fractional coordinates):
Na 0.000 0.000 0.000
Na 0.500 0.500 0.500
Si 0.000 0.000 0.380
Si 0.000 0.000 0.620
Si 0.500 0.500 0.120
Si 0.500 0.500 0.880
Pd 0.000 0.500 0.250
Pd 0.000 0.500 0.750
Pd 0.500 0.000 0.250
Pd 0.500 0.000 0.750



Below is crystalline Na2SiPd2 at its relaxed geometry, with properties calculated at the GGA-PBEsol level.

Results
Space-group type   P4/mbm
Uncorrected energy   -22.08 eV per formula unit
Formation energy without anion corrections   -323 meV per atom

abc: 6.113 6.113 4.977
angles: 90.00 90.00 90.00
Atoms (fractional coordinates):
Na 0.172 0.328 0.000
Na 0.328 0.828 0.000
Na 0.672 0.172 0.000
Na 0.828 0.672 0.000
Si 0.000 0.000 0.500
Si 0.500 0.500 0.500
Pd 0.154 0.654 0.500
Pd 0.346 0.154 0.500
Pd 0.654 0.846 0.500
Pd 0.846 0.346 0.500



Below is crystalline NaSn2Pd2 at its relaxed geometry, with properties calculated at the GGA-PBEsol level.

Results
Space-group type   P4/mbm
Uncorrected energy   -23.81 eV per formula unit
Energy relative to the lowest polymorph listed for this composition   0 meV per atom
DFT formation energy   -395 meV per atom

abc: 8.014 8.014 3.031
angles: 90.00 90.00 90.00
Atoms (fractional coordinates):
Na 0.000 0.000 0.000
Na 0.500 0.500 0.000
Sn 0.140 0.360 0.000
Sn 0.360 0.860 0.000
Sn 0.640 0.140 0.000
Sn 0.860 0.640 0.000
Pd 0.156 0.656 0.500
Pd 0.344 0.156 0.500
Pd 0.656 0.844 0.500
Pd 0.844 0.344 0.500



Below is crystalline NaSn3Pd at its relaxed geometry, with properties calculated at the GGA-PBEsol level.

Results
Space-group type   Pm-3m
Uncorrected energy   -15.45 eV per formula unit
DFT formation energy   937 meV per atom

abc: 5.150 5.150 5.150
angles: 90.00 90.00 90.00
Atoms (fractional coordinates):
Na 0.000 0.000 0.000
Sn 0.000 0.000 0.500
Sn 0.000 0.500 0.000
Sn 0.500 0.000 0.000
Pd 0.500 0.500 0.500



Below is crystalline NaSn2Pd2 at its relaxed geometry, with properties calculated at the GGA-PBEsol level.

Results
Space-group type   I4/mmm
Uncorrected energy   -23.68 eV per formula unit
Energy relative to the lowest polymorph listed for this composition   27 meV per atom
DFT formation energy   -368 meV per atom

abc: 4.468 4.468 11.159
angles: 90.00 90.00 90.00
Atoms (fractional coordinates):
Na 0.000 0.000 0.000
Na 0.500 0.500 0.500
Sn 0.000 0.000 0.372
Sn 0.000 0.000 0.628
Sn 0.500 0.500 0.128
Sn 0.500 0.500 0.872
Pd 0.000 0.500 0.250
Pd 0.000 0.500 0.750
Pd 0.500 0.000 0.250
Pd 0.500 0.000 0.750



Below is crystalline NaSnPdW2 at its relaxed geometry, with properties calculated at the GGA-PBEsol level.

Results
Space-group type   P4/mmm
Uncorrected energy   -29.88 eV per formula unit
DFT formation energy   1870 meV per atom

abc: 4.838 4.838 4.988
angles: 90.00 90.00 90.00
Atoms (fractional coordinates):
Na 0.000 0.000 0.000
Sn 0.500 0.500 0.000
Pd 0.500 0.500 0.500
W 0.000 0.500 0.500
W 0.500 0.000 0.500



Below is crystalline NaSr2Pd2 at its relaxed geometry, with properties calculated at the GGA-PBEsol level.

Results
Space-group type   P4/mbm
Uncorrected energy   -18.82 eV per formula unit
DFT formation energy   -365 meV per atom

abc: 8.077 8.077 4.109
angles: 90.00 90.00 90.00
Atoms (fractional coordinates):
Na 0.000 0.000 0.000
Na 0.500 0.500 0.000
Sr 0.167 0.333 0.500
Sr 0.333 0.833 0.500
Sr 0.667 0.167 0.500
Sr 0.833 0.667 0.500
Pd 0.121 0.621 0.000
Pd 0.379 0.121 0.000
Pd 0.621 0.879 0.000
Pd 0.879 0.379 0.000



Below is crystalline NaSrTl2Pd at its relaxed geometry, with properties calculated at the GGA-PBEsol level.

Results
Space-group type   P4/mmm
Uncorrected energy   -9.02 eV per formula unit
DFT formation energy   1087 meV per atom

abc: 5.919 5.919 5.782
angles: 90.00 90.00 90.00
Atoms (fractional coordinates):
Na 0.000 0.000 0.000
Sr 0.000 0.000 0.500
Tl 0.000 0.500 0.500
Tl 0.500 0.000 0.500
Pd 0.500 0.500 0.000



Below is crystalline NaSrYPd2 at its relaxed geometry, with properties calculated at the GGA-PBEsol level.

Results
Space-group type   P4/mmm
Uncorrected energy   -19.81 eV per formula unit
DFT formation energy   434 meV per atom

abc: 4.982 4.982 4.827
angles: 90.00 90.00 90.00
Atoms (fractional coordinates):
Na 0.000 0.000 0.000
Sr 0.000 0.000 0.500
Y 0.500 0.500 0.500
Pd 0.000 0.500 0.000
Pd 0.500 0.000 0.000



Below is crystalline Na3TaPd at its relaxed geometry, with properties calculated at the GGA-PBEsol level.

Results
Space-group type   Pm-3m
Uncorrected energy   -15.61 eV per formula unit
DFT formation energy   1420 meV per atom

abc: 5.195 5.195 5.195
angles: 90.00 90.00 90.00
Atoms (fractional coordinates):
Na 0.000 0.000 0.500
Na 0.000 0.500 0.000
Na 0.500 0.000 0.000
Ta 0.500 0.500 0.500
Pd 0.000 0.000 0.000



Below is crystalline NaTa3Pd at its relaxed geometry, with properties calculated at the GGA-PBEsol level.

Results
Space-group type   Pm-3m
Uncorrected energy   -37.10 eV per formula unit
DFT formation energy   1582 meV per atom

abc: 4.865 4.865 4.865
angles: 90.00 90.00 90.00
Atoms (fractional coordinates):
Na 0.000 0.000 0.000
Ta 0.000 0.500 0.500
Ta 0.500 0.000 0.500
Ta 0.500 0.500 0.000
Pd 0.500 0.500 0.500



Below is crystalline Na3TcPd at its relaxed geometry, with properties calculated at the GGA-PBEsol level.

Results
Space-group type   Pm-3m
Uncorrected energy   -14.89 eV per formula unit
DFT formation energy   1307 meV per atom

abc: 5.219 5.219 5.219
angles: 90.00 90.00 90.00
Atoms (fractional coordinates):
Na 0.000 0.000 0.500
Na 0.000 0.500 0.000
Na 0.500 0.000 0.000
Tc 0.500 0.500 0.500
Pd 0.000 0.000 0.000



Below is crystalline NaTePd3 at its relaxed geometry, with properties calculated at the GGA-PBEsol level.

Results
Space-group type   Pm-3m
Uncorrected energy   -22.38 eV per formula unit
Formation energy without anion corrections   84 meV per atom

abc: 4.933 4.933 4.933
angles: 90.00 90.00 90.00
Atoms (fractional coordinates):
Na 0.000 0.000 0.000
Te 0.500 0.500 0.500
Pd 0.000 0.500 0.500
Pd 0.500 0.000 0.500
Pd 0.500 0.500 0.000